1.
# CsTl3Sb (GGA-PBE, optimized geometry)
data_CsTl3Sb
_cell_length_a 7.6291
_cell_length_b 7.6315
_cell_length_c 7.5879
_cell_angle_alpha 90.00
_cell_angle_beta 90.00
_cell_angle_gamma 62.38
_symmetry_space_group_name_H-M 'P 1'
_symmetry_Int_Tables_number 1
_symmetry_space_group_name_Hall 'P 1'
loop_
_atom_site_label
_atom_site_type_symbol
_atom_site_fract_x
_atom_site_fract_y
_atom_site_fract_z
_atom_site_occupancy
Tl1 Tl 0.0252 0.7377 0.8025 1
Tl2 Tl 0.5354 0.2280 0.3025 1
Tl3 Tl 0.4131 0.6154 0.0524 1
Cs1 Cs 0.5278 0.7303 0.5524 1
Tl4 Tl 0.1475 0.3503 0.5524 1
Cs2 Cs 0.0328 0.2354 0.0524 1
Tl5 Tl 0.0251 0.7377 0.3022 1
Tl6 Tl 0.5354 0.2280 0.8022 1
Sb1 Sb 0.6552 0.8587 0.0524 1
Sb2 Sb 0.9054 0.1070 0.5524 1
# D(E_F) in states/eV/f.u.: 2.6
# Total magnetic moment in Bohr magnetons per cell: 0.00
# Polymorph energy (0 for the lowest one) in kcal/mol of atoms: 0.00
# Energy relative to the elements, uncorrected in eV per atom: -0.157
# Space group: Cmcm (63)



2.
# CsTl3Sb3 (GGA-PBE, optimized geometry)
data_CsTl3Sb3
_cell_length_a 8.4567
_cell_length_b 8.4567
_cell_length_c 8.4567
_cell_angle_alpha 90.00
_cell_angle_beta 90.00
_cell_angle_gamma 90.00
_symmetry_space_group_name_H-M 'P 1'
_symmetry_Int_Tables_number 1
_symmetry_space_group_name_Hall 'P 1'
loop_
_atom_site_label
_atom_site_type_symbol
_atom_site_fract_x
_atom_site_fract_y
_atom_site_fract_z
_atom_site_occupancy
Cs1 Cs 0.5000 0.5000 0.5000 1
Sb1 Sb 0.2500 0.5000 0.0000 1
Sb2 Sb 0.0000 0.2500 0.5000 1
Sb3 Sb 0.7500 0.5000 0.0000 1
Tl1 Tl 0.0000 0.5000 0.2500 1
Sb4 Sb 0.5000 0.0000 0.2500 1
Tl2 Tl 0.5000 0.7500 0.0000 1
Tl3 Tl 0.5000 0.2500 0.0000 1
Cs2 Cs 0.0000 0.0000 0.0000 1
Tl4 Tl 0.2500 0.0000 0.5000 1
Tl5 Tl 0.0000 0.5000 0.7500 1
Sb5 Sb 0.5000 0.0000 0.7500 1
Tl6 Tl 0.7500 0.0000 0.5000 1
Sb6 Sb 0.0000 0.7500 0.5000 1
# D(E_F) in states/eV/f.u.: 2.2
# Total magnetic moment in Bohr magnetons per cell: 0.00
# Energy relative to the elements, uncorrected in eV per atom: -0.022
# Space group: Pm-3n (223)



Q: Which of these has the lowest D(E_F)?
A: CsTl3Sb3



Q: Which of these has the highest energy relative to the elements, uncorrected?
A: CsTl3Sb3



Q: total magnetic moment of number 2 (CsTl3Sb3)?
A: 0.00 Bohr magnetons per cell